Ac4CuRhBr2 (PBE, optimized geometry); mass density = 7.39 g cm⁻³; uncorrected formation energy = -0.920 eV per atom
1.0
4.434 0.000 0.000
0.000 7.603 0.111
0.000 -2.705 8.189
Br Ac Rh Cu
2 4 1 1
direct
0.000 0.500 0.500 Br
0.500 0.000 0.500 Br
0.500 0.241 0.196 Ac
0.000 0.273 0.805 Ac
0.000 0.727 0.195 Ac
0.500 0.759 0.804 Ac
0.500 0.500 0.000 Rh
0.000 0.000 0.000 Cu